[1]
First-principles (GGA-PBEsol) data for a relaxed structure of CoRe4Ag, as listed in the Alexandria database.

Cell lengths 5.103, 5.103, 5.103 Å; angles 60.00, 60.00, 60.00 degrees
Element x y z (fractional)
Co: 0.000 0.000 0.000
Re: 0.375 0.375 0.375
Re: 0.375 0.375 0.875
Re: 0.375 0.875 0.375
Re: 0.875 0.375 0.375
Ag: 0.750 0.750 0.750

## Properties
Calculated formation energy in meV per atom: 810.4
Electronic total energy in eV/atom: -9.9191
V in Å³/atom: 15.66

=====

[2]
First-principles (GGA-PBEsol) data for a relaxed structure of Y2IrPb, as listed in the Alexandria database.

Cell lengths 3.429, 3.429, 8.221 Å; angles 90.00, 90.00, 90.00 degrees
Element x y z (fractional)
Y: 0.000 0.000 0.000
Y: 0.500 0.500 0.349
Ir: 0.000 0.000 0.542
Pb: 0.500 0.500 0.739

## Properties
Calculated formation energy in meV per atom: -201.6
Electronic total energy in eV/atom: -7.0682
V in Å³/atom: 24.16

=====

[3]
First-principles (GGA-PBEsol) data for a relaxed structure of TaWAu2, as listed in the Alexandria database.

Cell lengths 3.566, 4.287, 8.720 Å; angles 90.00, 90.00, 90.00 degrees
Element x y z (fractional)
Ta: 0.000 0.000 0.000
Ta: 0.500 0.500 0.000
W: 0.000 0.500 0.752
W: 0.500 0.000 0.752
Au: 0.000 0.000 0.509
Au: 0.000 0.500 0.246
Au: 0.500 0.000 0.246
Au: 0.500 0.500 0.509

## Properties
Calculated formation energy in meV per atom: 49.7
Electronic total energy in eV/atom: -8.5020
V in Å³/atom: 16.66

=====

[4]
First-principles (GGA-PBEsol) data for a relaxed structure of HgIr2I, as listed in the Alexandria database.

Cell lengths 6.576, 6.576, 6.576 Å; angles 90.00, 90.00, 90.00 degrees
Element x y z (fractional)
Hg: 0.000 0.000 0.000
Hg: 0.000 0.500 0.500
Hg: 0.500 0.000 0.500
Hg: 0.500 0.500 0.000
Ir: 0.250 0.250 0.250
Ir: 0.250 0.250 0.750
Ir: 0.250 0.750 0.250
Ir: 0.250 0.750 0.750
Ir: 0.750 0.250 0.250
Ir: 0.750 0.250 0.750
Ir: 0.750 0.750 0.250
Ir: 0.750 0.750 0.750
I: 0.000 0.000 0.500
I: 0.000 0.500 0.000
I: 0.500 0.000 0.000
I: 0.500 0.500 0.500

## Properties
Electronic total energy in eV/atom: -4.4761
V in Å³/atom: 17.77

=====

[5]
First-principles (GGA-PBEsol) data for a relaxed structure of ReOs, as listed in the Alexandria database.

Cell lengths 4.358, 2.745, 14.303 Å; angles 90.00, 90.00, 90.00 degrees
Element x y z (fractional)
Re: 0.000 0.000 0.000
Re: 0.000 0.000 0.332
Re: 0.000 0.500 0.500
Re: 0.000 0.500 0.832
Re: 0.500 0.000 0.556
Re: 0.500 0.500 0.056
Os: 0.000 0.000 0.667
Os: 0.000 0.500 0.167
Os: 0.500 0.000 0.222
Os: 0.500 0.000 0.888
Os: 0.500 0.500 0.388
Os: 0.500 0.500 0.722

## Properties
Calculated formation energy in meV per atom: -67.0
Electronic total energy in eV/atom: -12.8410
V in Å³/atom: 14.26

=====

[6]
First-principles (GGA-PBEsol) data for a relaxed structure of Co2PtPb, as listed in the Alexandria database.

Cell lengths 3.028, 4.041, 5.100 Å; angles 90.00, 106.82, 90.00 degrees
Element x y z (fractional)
Co: 0.000 0.000 0.000
Co: 0.125 0.500 0.258
Pt: 0.416 0.500 0.829
Pb: 0.730 0.000 0.472

## Properties
Calculated formation energy in meV per atom: 321.5
Electronic total energy in eV/atom: -6.2876
V in Å³/atom: 14.93

=====

[7]
First-principles (GGA-PBEsol) data for a relaxed structure of Zn2TcAs, as listed in the Alexandria database.

Cell lengths 3.222, 3.222, 5.469 Å; angles 90.00, 90.00, 90.00 degrees
Element x y z (fractional)
Zn: 0.000 0.000 0.000
Zn: 0.500 0.500 0.222
Tc: 0.500 0.500 0.724
As: 0.000 0.000 0.506

## Properties
Calculated formation energy in meV per atom: -68.5
Electronic total energy in eV/atom: -4.9526
V in Å³/atom: 14.19

=====

[8]
First-principles (GGA-PBEsol) data for a relaxed structure of In, as listed in the Alexandria database.

Cell lengths 4.964, 4.964, 5.798 Å; angles 90.00, 90.00, 120.00 degrees
Element x y z (fractional)
In: 0.000 0.000 0.250
In: 0.000 0.000 0.750
In: 0.333 0.667 0.250
In: 0.667 0.333 0.750

## Properties
Calculated formation energy in meV per atom: 225.1
Electronic total energy in eV/atom: -2.7577
V in Å³/atom: 30.93

=====

[9]
First-principles (GGA-PBEsol) data for a relaxed structure of SrYSc2, as listed in the Alexandria database.

Cell lengths 3.406, 3.406, 35.821 Å; angles 90.00, 90.00, 120.00 degrees
Element x y z (fractional)
Sr: 0.000 0.000 0.000
Sr: 0.333 0.667 0.667
Sr: 0.667 0.333 0.333
Y: 0.000 0.000 0.500
Y: 0.333 0.667 0.167
Y: 0.667 0.333 0.833
Sc: 0.000 0.000 0.092
Sc: 0.000 0.000 0.908
Sc: 0.333 0.667 0.574
Sc: 0.333 0.667 0.759
Sc: 0.667 0.333 0.241
Sc: 0.667 0.333 0.426

## Properties
Calculated formation energy in meV per atom: 332.9
Electronic total energy in eV/atom: -5.1352
V in Å³/atom: 29.98

=====

[10]
First-principles (GGA-PBEsol) data for a relaxed structure of TlFe2Hg, as listed in the Alexandria database.

Cell lengths 3.092, 3.092, 7.116 Å; angles 90.00, 90.00, 90.00 degrees
Element x y z (fractional)
Tl: 0.000 0.000 0.000
Fe: 0.000 0.000 0.411
Fe: 0.500 0.500 0.263
Hg: 0.500 0.500 0.657

## Properties
Calculated formation energy in meV per atom: 376.8
Electronic total energy in eV/atom: -4.9042
V in Å³/atom: 17.01

=====

[11]
First-principles (GGA-PBEsol) data for a relaxed structure of HgAs2Se2, as listed in the Alexandria database.

Cell lengths 8.180, 8.180, 3.412 Å; angles 90.00, 90.00, 90.00 degrees
Element x y z (fractional)
Hg: 0.000 0.000 0.000
Hg: 0.500 0.500 0.000
As: 0.136 0.364 0.500
As: 0.364 0.864 0.500
As: 0.636 0.136 0.500
As: 0.864 0.636 0.500
Se: 0.211 0.711 0.000
Se: 0.289 0.211 0.000
Se: 0.711 0.789 0.000
Se: 0.789 0.289 0.000

## Properties
Electronic total energy in eV/atom: -3.4444
V in Å³/atom: 22.83

=====

[12]
First-principles (GGA-PBEsol) data for a relaxed structure of Mg2NiHg, as listed in the Alexandria database.

Cell lengths 4.518, 4.518, 6.490 Å; angles 90.00, 90.00, 90.00 degrees
Element x y z (fractional)
Mg: 0.000 0.500 0.250
Mg: 0.000 0.500 0.750
Mg: 0.500 0.000 0.250
Mg: 0.500 0.000 0.750
Ni: 0.000 0.000 0.000
Ni: 0.500 0.500 0.500
Hg: 0.000 0.000 0.500
Hg: 0.500 0.500 0.000

## Properties
Calculated formation energy in meV per atom: -149.6
Electronic total energy in eV/atom: -2.6893
V in Å³/atom: 16.56

=====

[13]
First-principles (GGA-PBEsol) data for a relaxed structure of SrCr2Ag, as listed in the Alexandria database.

Cell lengths 4.473, 4.473, 8.658 Å; angles 90.00, 90.00, 90.00 degrees
Element x y z (fractional)
Sr: 0.000 0.000 0.000
Sr: 0.500 0.500 0.500
Cr: 0.000 0.500 0.250
Cr: 0.000 0.500 0.750
Cr: 0.500 0.000 0.250
Cr: 0.500 0.000 0.750
Ag: 0.000 0.000 0.500
Ag: 0.500 0.500 0.000

## Properties
Calculated formation energy in meV per atom: 925.5
Electronic total energy in eV/atom: -5.4833
V in Å³/atom: 21.66

=====

[14]
First-principles (GGA-PBEsol) data for a relaxed structure of RbNi2RhC, as listed in the Alexandria database.

Cell lengths 3.694, 3.694, 5.415 Å; angles 90.00, 90.00, 90.00 degrees
Element x y z (fractional)
Rb: 0.000 0.000 0.000
Ni: 0.000 0.500 0.500
Ni: 0.500 0.000 0.500
Rh: 0.500 0.500 0.000
C: 0.000 0.000 0.500

## Properties
Calculated formation energy in meV per atom: 1095.7
Electronic total energy in eV/atom: -5.1288
V in Å³/atom: 14.78

=====

[15]
First-principles (GGA-PBEsol) data for a relaxed structure of ZrBrNF2, as listed in the Alexandria database.

Cell lengths 4.102, 4.102, 4.386 Å; angles 90.00, 90.00, 90.00 degrees
Element x y z (fractional)
Zr: 0.000 0.000 0.000
Br: 0.500 0.500 0.500
N: 0.000 0.000 0.500
F: 0.000 0.500 0.000
F: 0.500 0.000 0.000

## Properties
Electronic total energy in eV/atom: -6.3401
V in Å³/atom: 14.76

=====

[16]
First-principles (GGA-PBEsol) data for a relaxed structure of Mg2Ga2Ag, as listed in the Alexandria database.

Cell lengths 6.681, 6.681, 4.173 Å; angles 90.00, 90.00, 90.00 degrees
Element x y z (fractional)
Mg: 0.169 0.331 0.000
Mg: 0.331 0.831 0.000
Mg: 0.669 0.169 0.000
Mg: 0.831 0.669 0.000
Ga: 0.134 0.634 0.500
Ga: 0.366 0.134 0.500
Ga: 0.634 0.866 0.500
Ga: 0.866 0.366 0.500
Ag: 0.000 0.000 0.500
Ag: 0.500 0.500 0.500

## Properties
Calculated formation energy in meV per atom: -157.1
Electronic total energy in eV/atom: -2.8421
V in Å³/atom: 18.62

=====

[17]
First-principles (GGA-PBEsol) data for a relaxed structure of CaRhCl, as listed in the Alexandria database.

Cell lengths 3.177, 3.177, 10.886 Å; angles 90.00, 90.00, 90.00 degrees
Element x y z (fractional)
Ca: 0.000 0.000 0.000
Ca: 0.500 0.500 0.500
Rh: 0.000 0.000 0.673
Rh: 0.500 0.500 0.173
Cl: 0.000 0.000 0.339
Cl: 0.500 0.500 0.839

## Properties
Electronic total energy in eV/atom: -4.5330
V in Å³/atom: 18.32

=====

[18]
First-principles (GGA-PBEsol) data for a relaxed structure of SnS2I, as listed in the Alexandria database.

Cell lengths 3.503, 3.503, 27.455 Å; angles 90.00, 90.00, 120.00 degrees
Element x y z (fractional)
Sn: 0.000 0.000 0.000
Sn: 0.333 0.667 0.667
Sn: 0.667 0.333 0.333
S: 0.000 0.000 0.091
S: 0.000 0.000 0.909
S: 0.333 0.667 0.576
S: 0.333 0.667 0.757
S: 0.667 0.333 0.243
S: 0.667 0.333 0.424
I: 0.000 0.000 0.500
I: 0.333 0.667 0.167
I: 0.667 0.333 0.833

## Properties
Electronic total energy in eV/atom: -3.1921
V in Å³/atom: 24.31

=====

[19]
First-principles (GGA-PBEsol) data for a relaxed structure of MnCr2S4, as listed in the Alexandria database.

Cell lengths 11.651, 3.049, 5.660 Å; angles 90.00, 114.89, 90.00 degrees
Element x y z (fractional)
Mn: 0.000 0.000 0.000
Mn: 0.500 0.500 0.000
Cr: 0.239 0.500 0.685
Cr: 0.261 0.000 0.315
Cr: 0.739 0.000 0.685
Cr: 0.761 0.500 0.315
S: 0.102 0.000 0.436
S: 0.140 0.500 0.977
S: 0.360 0.000 0.023
S: 0.398 0.500 0.564
S: 0.602 0.500 0.436
S: 0.640 0.000 0.977
S: 0.860 0.500 0.023
S: 0.898 0.000 0.564

## Properties
Electronic total energy in eV/atom: -7.5431
V in Å³/atom: 13.03

=====

[20]
First-principles (GGA-PBEsol) data for a relaxed structure of SrBeGa2W, as listed in the Alexandria database.

Cell lengths 4.901, 4.901, 5.516 Å; angles 90.00, 90.00, 90.00 degrees
Element x y z (fractional)
Sr: 0.000 0.000 0.000
Be: 0.500 0.500 0.000
Ga: 0.000 0.500 0.500
Ga: 0.500 0.000 0.500
W: 0.000 0.000 0.500

## Properties
Calculated formation energy in meV per atom: 1170.1
Electronic total energy in eV/atom: -4.0954
V in Å³/atom: 26.50

=====

[21]
First-principles (GGA-PBEsol) data for a relaxed structure of SrGeBAs2, as listed in the Alexandria database.

Cell lengths 4.408, 4.408, 5.120 Å; angles 90.00, 90.00, 90.00 degrees
Element x y z (fractional)
Sr: 0.000 0.000 0.000
Ge: 0.500 0.500 0.000
B: 0.000 0.000 0.500
As: 0.000 0.500 0.500
As: 0.500 0.000 0.500

## Properties
Calculated formation energy in meV per atom: 354.2
Electronic total energy in eV/atom: -4.4475
V in Å³/atom: 19.89

=====

[22]
First-principles (GGA-PBEsol) data for a relaxed structure of SrIn3, as listed in the Alexandria database.

Cell lengths 4.798, 4.798, 9.524 Å; angles 90.00, 90.00, 90.00 degrees
Element x y z (fractional)
Sr: 0.000 0.000 0.000
Sr: 0.500 0.500 0.500
In: 0.000 0.000 0.500
In: 0.000 0.500 0.250
In: 0.000 0.500 0.750
In: 0.500 0.000 0.250
In: 0.500 0.000 0.750
In: 0.500 0.500 0.000

## Properties
Calculated formation energy in meV per atom: -292.1
Electronic total energy in eV/atom: -2.9893
V in Å³/atom: 27.41

=====

[23]
First-principles (GGA-PBEsol) data for a relaxed structure of HgTe3C, as listed in the Alexandria database.

Cell lengths 5.516, 5.516, 5.516 Å; angles 90.00, 90.00, 90.00 degrees
Element x y z (fractional)
Hg: 0.000 0.000 0.000
Te: 0.000 0.000 0.500
Te: 0.000 0.500 0.000
Te: 0.500 0.000 0.000
C: 0.500 0.500 0.500

## Properties
Electronic total energy in eV/atom: -2.0870
V in Å³/atom: 33.56

=====

[24]
First-principles (GGA-PBEsol) data for a relaxed structure of CaAlIn, as listed in the Alexandria database.

Cell lengths 4.728, 4.728, 3.681 Å; angles 90.00, 90.00, 120.00 degrees
Element x y z (fractional)
Ca: 0.000 0.000 0.000
Al: 0.667 0.333 0.500
In: 0.333 0.667 0.500

## Properties
Calculated formation energy in meV per atom: -338.3
Electronic total energy in eV/atom: -3.4075
V in Å³/atom: 23.76

=====

[25]
First-principles (GGA-PBEsol) data for a relaxed structure of Mg2Mn3CrS8, as listed in the Alexandria database.

Cell lengths 7.041, 7.041, 7.041 Å; angles 59.27, 59.27, 59.27 degrees
Element x y z (fractional)
Mg: 0.126 0.126 0.126
Mg: 0.874 0.874 0.874
Mn: 0.000 0.500 0.500
Mn: 0.500 0.000 0.500
Mn: 0.500 0.500 0.000
Cr: 0.500 0.500 0.500
S: 0.262 0.262 0.706
S: 0.262 0.706 0.262
S: 0.265 0.265 0.265
S: 0.294 0.738 0.738
S: 0.706 0.262 0.262
S: 0.735 0.735 0.735
S: 0.738 0.294 0.738
S: 0.738 0.738 0.294

## Properties
Electronic total energy in eV/atom: -6.3319
V in Å³/atom: 17.33

=====

[26]
First-principles (GGA-PBEsol) data for a relaxed structure of Mn3TlBi, as listed in the Alexandria database.

Cell lengths 5.058, 5.058, 5.058 Å; angles 90.00, 90.00, 90.00 degrees
Element x y z (fractional)
Mn: 0.000 0.000 0.500
Mn: 0.000 0.500 0.000
Mn: 0.500 0.000 0.000
Tl: 0.500 0.500 0.500
Bi: 0.000 0.000 0.000

## Properties
Calculated formation energy in meV per atom: 1275.3
Electronic total energy in eV/atom: -5.9645
V in Å³/atom: 25.89

=====

[27]
First-principles (GGA-PBEsol) data for a relaxed structure of MgZn2Ag2, as listed in the Alexandria database.

Cell lengths 3.590, 3.590, 13.453 Å; angles 90.00, 90.00, 90.00 degrees
Element x y z (fractional)
Mg: 0.000 0.000 0.000
Mg: 0.500 0.500 0.500
Zn: 0.000 0.500 0.250
Zn: 0.000 0.500 0.750
Zn: 0.500 0.000 0.250
Zn: 0.500 0.000 0.750
Ag: 0.000 0.000 0.398
Ag: 0.000 0.000 0.602
Ag: 0.500 0.500 0.102
Ag: 0.500 0.500 0.898

## Properties
Calculated formation energy in meV per atom: -41.4
Electronic total energy in eV/atom: -2.3420
V in Å³/atom: 17.34

=====

[28]
First-principles (GGA-PBEsol) data for a relaxed structure of BeMoRh, as listed in the Alexandria database.

Cell lengths 5.417, 5.417, 5.417 Å; angles 90.00, 90.00, 90.00 degrees
Element x y z (fractional)
Be: 0.000 0.000 0.000
Be: 0.000 0.500 0.500
Be: 0.500 0.000 0.500
Be: 0.500 0.500 0.000
Mo: 0.250 0.250 0.750
Mo: 0.250 0.750 0.250
Mo: 0.750 0.250 0.250
Mo: 0.750 0.750 0.750
Rh: 0.250 0.250 0.250
Rh: 0.250 0.750 0.750
Rh: 0.750 0.250 0.750
Rh: 0.750 0.750 0.250

## Properties
Calculated formation energy in meV per atom: 411.2
Electronic total energy in eV/atom: -7.5576
V in Å³/atom: 13.25

=====

[29]
First-principles (GGA-PBEsol) data for a relaxed structure of FeCoNi2, as listed in the Alexandria database.

Cell lengths 8.210, 2.468, 4.233 Å; angles 90.00, 100.22, 90.00 degrees
Element x y z (fractional)
Fe: 0.000 0.000 0.000
Fe: 0.500 0.500 0.000
Co: 0.000 0.500 0.500
Co: 0.500 0.000 0.500
Ni: 0.249 0.000 0.747
Ni: 0.251 0.500 0.253
Ni: 0.749 0.500 0.747
Ni: 0.751 0.000 0.253

## Properties
Calculated formation energy in meV per atom: 2.9
Electronic total energy in eV/atom: -7.2510
V in Å³/atom: 10.55